# 1
First-principles (SCAN) data for a crystal of La3BRh relaxed with PBEsol, as listed in Alexandria.

The space group is Pm-3m (No. 221) and the conventional cell measures 5.093, 5.093 and 5.093 Å, with angles of 90.00, 90.00 and 90.00 degrees. The distinct sites, in fractional coordinates, are La at (0.000, 0.000, 0.500), B at (0.000, 0.000, 0.000) and Rh at (0.500, 0.500, 0.500).

As for the crystal system: cubic. The energy of formation is 146.7 meV per atom.

# 2
First-principles (SCAN) data for a crystal of La2B4Rh5 relaxed with PBEsol, as listed in Alexandria.

The space group is Fmmm (No. 69) and the conventional cell measures 5.473, 9.954 and 11.218 Å, with angles of 90.00, 90.00 and 90.00 degrees. The distinct sites, in fractional coordinates, are La at (0.000, 0.000, 0.142), B at (0.000, 0.161, 0.370), Rh at (0.000, 0.000, 0.500), Rh at (0.250, 0.250, 0.000) and Rh at (0.250, 0.250, 0.250).

As for the crystal system: orthorhombic. The energy of formation is -814.0 meV per atom.

# 3
First-principles (SCAN) data for a crystal of La5B4Rh15 relaxed with PBEsol, as listed in Alexandria.

The space group is P4/mmm (No. 123) and the conventional cell measures 4.218, 4.218 and 20.617 Å, with angles of 90.00, 90.00 and 90.00 degrees. The distinct sites, in fractional coordinates, are La at (0.000, 0.000, 0.000), La at (0.000, 0.000, 0.203), La at (0.000, 0.000, 0.405), B at (0.500, 0.500, 0.103), B at (0.500, 0.500, 0.312), Rh at (0.000, 0.500, 0.102), Rh at (0.000, 0.500, 0.304), Rh at (0.000, 0.500, 0.500), Rh at (0.500, 0.500, 0.000), Rh at (0.500, 0.500, 0.206) and Rh at (0.500, 0.500, 0.411).

As for the crystal system: tetragonal. The energy of formation is -695.0 meV per atom.

# 4
First-principles (SCAN) data for a crystal of LaB3Ru relaxed with PBEsol, as listed in Alexandria.

The space group is Pm-3m (No. 221) and the conventional cell measures 4.092, 4.092 and 4.092 Å, with angles of 90.00, 90.00 and 90.00 degrees. The distinct sites, in fractional coordinates, are La at (0.000, 0.000, 0.000), B at (0.000, 0.500, 0.500) and Ru at (0.500, 0.500, 0.500).

As for the crystal system: cubic. The energy of formation is -5.0 meV per atom.

# 5
First-principles (SCAN) data for a crystal of LaB2Ru3 relaxed with PBEsol, as listed in Alexandria.

The space group is P6/mmm (No. 191) and the conventional cell measures 5.5401, 5.5401 and 2.9952 Å, with angles of 90.00, 90.00 and 120.00 degrees. The distinct sites, in fractional coordinates, are La at (0.0000, 0.0000, 0.0000), B at (0.3333, 0.6667, 0.0000) and Ru at (0.0000, 0.5000, 0.5000).

As for the crystal system: hexagonal. The energy of formation is -466.2 meV per atom.

# 6
First-principles (SCAN) data for a crystal of LaB4Ru4 relaxed with PBEsol, as listed in Alexandria.

The space group is P4_2/n (No. 86, origin choice 2) and the conventional cell measures 7.493, 7.493 and 3.987 Å, with angles of 90.00, 90.00 and 90.00 degrees. The distinct sites, in fractional coordinates, are La at (0.250, 0.250, 0.250), B at (0.039, 0.584, 0.141) and Ru at (0.108, 0.859, 0.141).

As for the crystal system: tetragonal. The energy of formation is -543.9 meV per atom.

# 7
First-principles (SCAN) data for a crystal of LaB3S relaxed with PBEsol, as listed in Alexandria.

The space group is Pm-3m (No. 221) and the conventional cell measures 4.028, 4.028 and 4.028 Å, with angles of 90.00, 90.00 and 90.00 degrees. The distinct sites, in fractional coordinates, are La at (0.000, 0.000, 0.000), B at (0.000, 0.500, 0.500) and S at (0.500, 0.500, 0.500).

As for the crystal system: cubic. The calculation puts the uncorrected formation energy at 1.09 eV per atom.

# 8
First-principles (SCAN) data for a crystal of La2BS relaxed with PBEsol, as listed in Alexandria.

The space group is Fm-3m (No. 225) and the conventional cell measures 6.917, 6.917 and 6.917 Å, with angles of 90.00, 90.00 and 90.00 degrees. The distinct sites, in fractional coordinates, are La at (0.250, 0.250, 0.250), B at (0.000, 0.000, 0.000) and S at (0.000, 0.000, 0.500).

As for the crystal system: cubic. The calculation puts the uncorrected formation energy at -0.69 eV per atom.

We obtain magnetization values of 0.00, 0.00, 0.00, 0.00, 0.00, 0.00, 0.00, 1.41 μB/f.u. for the records listed above, in that order.
We obtain VASP energy values of -33.957, -26.704, -32.021, -20.049, -27.540, -24.114, -13.910, -26.506 eV/atom for the records listed above, in that order.